## Be2NbNi (GGA-PBE)

Data for Be2NbNi after structural relaxation.

Output
As for the energy of formation: 0.404 eV per atom. The value obtained for the total energy is -5.422 eV per atom.

Cell: 7.786 7.786 7.786 Å, 152.04 152.04 39.96°
Fractional coordinates of all 8 atoms:
Be (0.375, 0.199, 0.324)
Be (0.801, 0.125, 0.176)
Be (0.875, 0.051, 0.676)
Be (0.949, 0.625, 0.824)
Nb (0.250, 0.750, 0.500)
Nb (0.500, 0.500, 0.000)
Ni (0.000, 0.000, 0.000)
Ni (0.750, 0.250, 0.500)


## Ta2CoAs (GGA-PBE)

Data for Ta2CoAs after structural relaxation.

Output
As for the energy of formation: -0.086 eV per atom. The value obtained for the total energy is -8.951 eV per atom.

Cell: 2.902 3.803 5.785 Å, 90.00 102.45 90.00°
Fractional coordinates of all 4 atoms:
Ta (0.010, 0.000, 0.238)
Ta (0.990, 0.000, 0.762)
Co (0.500, 0.500, 0.000)
As (0.500, 0.500, 0.500)


## Zr4Sc2Ga (GGA-PBE)

Data for Zr4Sc2Ga after structural relaxation.

Output
As for the energy of formation: 0.629 eV per atom. The value obtained for the total energy is -6.497 eV per atom.

Cell: 8.561 8.561 8.561 Å, 146.34 146.34 48.34°
Fractional coordinates of all 7 atoms:
Zr (0.000, 0.500, 0.500)
Zr (0.165, 0.165, 0.000)
Zr (0.500, 0.000, 0.500)
Zr (0.835, 0.835, 0.000)
Sc (0.367, 0.367, 0.000)
Sc (0.633, 0.633, 0.000)
Ga (0.000, 0.000, 0.000)


## LaTlP2O6 (GGA-PBE)

Data for LaTlP2O6 after structural relaxation.

Output
The value obtained for the total energy is -7.118 eV per atom. The energy relative to the elements, uncorrected comes out at -2.3322 eV/atom.

Cell: 6.886 6.886 8.172 Å, 99.92 99.92 113.84°
Fractional coordinates of all 20 atoms:
La (0.203, 0.797, 0.750)
La (0.797, 0.203, 0.250)
Tl (0.378, 0.622, 0.250)
Tl (0.622, 0.378, 0.750)
P (0.039, 0.245, 0.725)
P (0.245, 0.039, 0.225)
P (0.755, 0.961, 0.775)
P (0.961, 0.755, 0.275)
O (0.039, 0.703, 0.444)
O (0.142, 0.200, 0.215)
O (0.143, 0.465, 0.867)
O (0.200, 0.142, 0.715)
O (0.297, 0.961, 0.056)
O (0.465, 0.143, 0.367)
O (0.535, 0.857, 0.633)
O (0.703, 0.039, 0.944)
O (0.800, 0.858, 0.285)
O (0.857, 0.535, 0.133)
O (0.858, 0.800, 0.785)
O (0.961, 0.297, 0.556)


## HoEr4MgS8 (GGA-PBE)

Data for HoEr4MgS8 after structural relaxation.

Output
The value obtained for the total energy is -6.023 eV per atom. The energy relative to the elements, uncorrected comes out at -1.9197 eV/atom.

Cell: 7.916 7.916 7.916 Å, 59.98 59.98 59.98°
Fractional coordinates of all 14 atoms:
Ho (0.000, 0.000, 0.000)
Er (0.000, 0.000, 0.511)
Er (0.000, 0.511, 0.000)
Er (0.378, 0.378, 0.378)
Er (0.511, 0.000, 0.000)
Mg (0.628, 0.628, 0.628)
S (0.240, 0.756, 0.756)
S (0.244, 0.244, 0.244)
S (0.245, 0.245, 0.777)
S (0.245, 0.777, 0.245)
S (0.756, 0.240, 0.756)
S (0.756, 0.756, 0.240)
S (0.757, 0.757, 0.757)
S (0.777, 0.245, 0.245)


Volume list, top to bottom, in Å³ per cell: 103.6 62.4 191.9 336.3 350.5